## K2Cu2Hg (GGA-PBE)

Data for an optimized crystal structure of K2Cu2Hg.

a = 7.215 Å, b = 7.215 Å, c = 5.198 Å
α = 90.00°, β = 90.00°, γ = 90.00°
Fractional coordinates of all 10 atoms:
K  0.819  0.319  0.500
Cu  0.880  0.620  0.000
Cu  0.380  0.880  0.000
Hg  0.000  0.000  0.000
Cu  0.120  0.380  0.000
K  0.181  0.681  0.500
Hg  0.500  0.500  0.000
K  0.319  0.181  0.500
K  0.681  0.819  0.500
Cu  0.620  0.120  0.000

Calculated values
Total moment, μB/f.u.: 0.0
Energy relative to the elements, eV/atom: 0.202
Symmetry: P4/mbm
Energy relative to the lowest polymorph listed for this composition, meV per atom: 47

=====

## Mg2Be2AlPd5 (GGA-PBE)

Data for an optimized crystal structure of Mg2Be2AlPd5.

a = 3.169 Å, b = 9.487 Å, c = 9.487 Å
α = 90.00°, β = 90.00°, γ = 90.00°
Fractional coordinates of all 20 atoms:
Mg  0.000  0.326  0.826
Pd  0.500  0.427  0.294
Pd  0.500  0.500  0.000
Pd  0.500  0.573  0.706
Pd  0.500  0.706  0.427
Pd  0.500  0.794  0.927
Be  0.000  0.875  0.375
Pd  0.500  0.927  0.206
Mg  0.000  0.174  0.326
Be  0.000  0.375  0.125
Mg  0.000  0.826  0.674
Al  0.000  0.500  0.500
Pd  0.500  0.000  0.500
Pd  0.500  0.206  0.073
Pd  0.500  0.073  0.794
Be  0.000  0.625  0.875
Pd  0.500  0.294  0.573
Al  0.000  0.000  0.000
Be  0.000  0.125  0.625
Mg  0.000  0.674  0.174

Calculated values
Total moment, μB/f.u.: 0.0
Energy relative to the elements, eV/atom: -0.696
Symmetry: P4/mbm

=====

no.,final energy (eV/atom)
1,-1.9363
2,-4.7310